First-principles (PBE) data for a relaxed CsPdAu2O crystal, as listed in Alexandria.

The structure in POSCAR format:
```
CsPdAu2O
1.0
-1.872 -5.220 2.085
0.974 -1.829 -3.703
5.454 -1.155 2.005
Cs Au O Pd
1 2 1 1
Direct
0.000 0.000 0.000 Cs
0.000 0.000 0.500 Au
0.500 0.000 0.000 Au
0.000 0.500 0.000 O
0.500 0.500 0.500 Pd
```

Results
Its raw formation energy is 1.268 eV/atom. The total magnetic moment comes out at 0.000 μB per atom. The value obtained for the theoretical density is 7.24 g cm⁻³. For the density of states at the Fermi level, the calculation gives 3.24 states/eV per cell. Its symmetry is P4/mmm.